# 1
This record from Alexandria via LeMat-Bulk describes an optimized crystal structure of Ba3NdC2N6. The functional is PBE.

Properties
- D(E_F): 0.389 states/eV/atom
- DFT total energy: -7.1982 eV/atom
- Energy relative to the elements, uncorrected: -620 meV/atom

a b c (Å): 5.8646 5.8646 7.0684
angles (deg): 90.00 90.00 120.00
Space group P-3m1 (No. 164)
Asymmetric unit:
Ba 0.0000 0.0000 0.0000 [1 per cell]
Ba 0.3333 0.6667 0.6787 [2 per cell]
Nd 0.0000 0.0000 0.5000 [1 per cell]
C 0.3333 0.6667 0.2802 [2 per cell]
N 0.1980 0.3960 0.2895 [6 per cell]



# 2
This record from Alexandria via LeMat-Bulk describes an optimized crystal structure of NdAlNi. The functional is PBE.

Properties
- ΔE_f: -0.51 eV/atom
- D(E_F): 0.980 states/eV/atom
- DFT total energy: -5.2759 eV/atom

a b c (Å): 7.0358 7.0358 4.0937
angles (deg): 90.00 90.00 120.00
Space group P-62m (No. 189)
Asymmetric unit:
Nd 0.0000 0.4190 0.0000 [3 per cell]
Al 0.0000 0.7720 0.5000 [3 per cell]
Ni 0.0000 0.0000 0.0000 [1 per cell]
Ni 0.3333 0.6667 0.5000 [2 per cell]



# 3
This record from Alexandria via LeMat-Bulk describes an optimized crystal structure of NiIr2Se. The functional is PBE.

Properties
- D(E_F): 1.274 states/eV/atom
- DFT total energy: -6.3047 eV/atom
- Energy relative to the elements, uncorrected: 442 meV/atom
- Energy above the lowest structure with this stoichiometry: 203 meV per atom

a b c (Å): 3.7869 3.7869 17.3342
angles (deg): 90.00 90.00 90.00
Space group I-42d (No. 122)
Asymmetric unit:
Ni 0.0000 0.0000 0.0000 [4 per cell]
Ir 0.2351 0.2500 0.1250 [8 per cell]
Se 0.0000 0.0000 0.5000 [4 per cell]



# 4
This record from Alexandria via LeMat-Bulk describes an optimized crystal structure of GaP2Pt. The functional is PBE.

Properties
- ΔE_f: -0.27 eV/atom
- D(E_F): 0.521 states/eV/atom
- DFT total energy: -5.2433 eV/atom

a b c (Å): 5.3602 5.3602 11.2015
angles (deg): 90.00 90.00 90.00
Space group I-42d (No. 122)
Asymmetric unit:
Ga 0.0000 0.0000 0.0000 [4 per cell]
P 0.2357 0.2500 0.6250 [8 per cell]
Pt 0.0000 0.0000 0.5000 [4 per cell]



# 5
This record from Alexandria via LeMat-Bulk describes an optimized crystal structure of Er3TmHg. The functional is PBE.

Properties
- ΔE_f: -0.12 eV/atom
- D(E_F): 1.116 states/eV/atom
- DFT total energy: -3.8142 eV/atom

a b c (Å): 11.0135 7.2465 7.8298
angles (deg): 90.00 110.57 90.00
Space group C2/m (No. 12)
Asymmetric unit:
Er 0.0600 0.0000 0.2393 [4 per cell]
Er 0.1596 0.2501 0.6388 [8 per cell]
Tm 0.0603 0.5000 0.2403 [4 per cell]
Hg 0.2486 0.5000 0.0001 [4 per cell]



# 6
This record from Alexandria via LeMat-Bulk describes an optimized crystal structure of La3Tb3Y8. The functional is PBE.

Properties
- ΔE_f: 0.11 eV/atom
- D(E_F): 1.723 states/eV/atom
- DFT total energy: -5.6360 eV/atom

a b c (Å): 5.7434 10.8110 15.3556
angles (deg): 90.00 90.00 90.00
Space group Immm (No. 71)
Asymmetric unit:
La 0.0000 0.0000 0.0000 [2 per cell]
La 0.0000 0.5000 0.3156 [4 per cell]
Tb 0.0000 0.0000 0.5000 [2 per cell]
Tb 0.0000 0.2986 0.5000 [4 per cell]
Y 0.0000 0.1615 0.2819 [8 per cell]
Y 0.0000 0.3401 0.1016 [8 per cell]



# 7
This record from Alexandria via LeMat-Bulk describes an optimized crystal structure of BaInI3. The functional is PBE.

Properties
- D(E_F): 0.155 states/eV/atom
- DFT total energy: -2.7104 eV/atom
- Energy relative to the elements, uncorrected: -848 meV/atom

a b c (Å): 6.2273 6.2273 6.2273
angles (deg): 90.00 90.00 90.00
Space group Pm-3m (No. 221)
Asymmetric unit:
Ba 0.0000 0.0000 0.0000 [1 per cell]
In 0.5000 0.5000 0.5000 [1 per cell]
I 0.0000 0.5000 0.5000 [3 per cell]



# 8
This record from Alexandria via LeMat-Bulk describes an optimized crystal structure of RbSbS2. The functional is PBE.

Properties
- DFT total energy: -3.9789 eV/atom
- Energy relative to the elements, uncorrected: -643 meV/atom

a b c (Å): 4.0915 4.0915 23.3745
angles (deg): 90.00 90.00 120.00
Space group R3m (No. 160, hexagonal axes)
Asymmetric unit:
Rb 0.0000 0.0000 0.0000 [3 per cell]
Sb 0.0000 0.0000 0.1683 [3 per cell]
S 0.0000 0.0000 0.5667 [3 per cell]
S 0.0000 0.0000 0.7698 [3 per cell]



Which value of DFT total energy does entry 1 give?
-7.1982 eV/atom



Copy entry 7 word for word.
This record from Alexandria via LeMat-Bulk describes an optimized crystal structure of BaInI3. The functional is PBE.

Properties
- D(E_F): 0.155 states/eV/atom
- DFT total energy: -2.7104 eV/atom
- Energy relative to the elements, uncorrected: -848 meV/atom

a b c (Å): 6.2273 6.2273 6.2273
angles (deg): 90.00 90.00 90.00
Space group Pm-3m (No. 221)
Asymmetric unit:
Ba 0.0000 0.0000 0.0000 [1 per cell]
In 0.5000 0.5000 0.5000 [1 per cell]
I 0.0000 0.5000 0.5000 [3 per cell]